HfGeN2 | the Alexandria database | PBE | relaxed; final energy = -8.208 eV/atom; crystal system = tetragonal; DOS at the Fermi energy = 0.110 states/eV per atom; formation energy without anion corrections = -403 meV/atom; calculated volume = 130.4 Å³/cell
1.0
-0.997 -2.689 -4.256
3.821 -3.228 1.144
-1.749 -5.801 0.980
N Ge Hf
4 2 2
direct
0.375 0.329 0.750
0.671 0.125 0.250
0.875 0.921 0.750
0.079 0.625 0.250
0.500 0.500 0.000
0.250 0.750 0.500
0.000 0.000 0.000
0.750 0.250 0.500

***

Hf2GeN | the Alexandria database | PBE | relaxed; final energy = -8.909 eV/atom; crystal system = tetragonal; DOS at the Fermi energy = 0.458 states/eV per atom; formation energy without anion corrections = -697 meV/atom; calculated volume = 158.7 Å³/cell
1.0
5.610 0.000 0.000
0.000 5.610 0.000
2.805 2.805 5.044
Ge N Hf
2 2 4
direct
0.750 0.250 0.500
0.000 0.000 0.000
0.250 0.750 0.500
0.500 0.500 0.000
0.875 0.792 0.750
0.375 0.458 0.750
0.542 0.125 0.250
0.208 0.625 0.250

***

Hf3GeN | the Alexandria database | PBE | relaxed; final energy = -9.355 eV/atom; crystal system = monoclinic; DOS at the Fermi energy = 0.623 states/eV per atom; formation energy without anion corrections = -794 meV/atom; calculated volume = 185.3 Å³/cell
1.0
3.626 0.000 0.000
-1.813 7.097 0.878
0.000 0.567 7.271
Hf Ge N
6 2 2
direct
0.845 0.689 0.448
0.685 0.369 0.879
0.050 0.100 0.168
0.155 0.311 0.552
0.315 0.631 0.121
0.950 0.900 0.832
0.672 0.345 0.268
0.328 0.655 0.732
0.094 0.188 0.859
0.906 0.812 0.141

***

Hf4Ge2N | the Alexandria database | PBE | relaxed; final energy = -8.940 eV/atom; crystal system = tetragonal; DOS at the Fermi energy = 0.407 states/eV per atom; formation energy without anion corrections = -744 meV/atom; calculated volume = 127.6 Å³/cell
1.0
4.204 0.000 0.000
0.000 4.204 0.000
2.102 2.102 7.217
N Hf Ge
1 4 2
direct
0.000 0.000 0.000
0.500 0.000 0.000
0.166 0.166 0.667
0.000 0.500 0.000
0.834 0.834 0.333
0.357 0.357 0.285
0.643 0.643 0.715

***

Hf6Ge2N | the Alexandria database | PBE | relaxed; final energy = -8.953 eV/atom; crystal system = tetragonal; DOS at the Fermi energy = 0.680 states/eV per atom; formation energy without anion corrections = -367 meV/atom; calculated volume = 374.0 Å³/cell
1.0
-4.715 2.696 1.951
-0.900 -4.290 3.754
6.232 5.376 7.637
Hf N Ge
12 2 4
direct
0.190 0.810 0.860
0.690 0.690 0.640
0.310 0.310 0.640
0.810 0.190 0.860
0.310 0.310 0.360
0.279 0.279 0.000
0.810 0.190 0.140
0.221 0.779 0.500
0.690 0.690 0.360
0.190 0.810 0.140
0.721 0.721 0.000
0.779 0.221 0.500
0.000 0.000 0.000
0.500 0.500 0.500
0.000 0.000 0.328
0.000 0.000 0.672
0.500 0.500 0.828
0.500 0.500 0.172

***

Hf6GeN | the Alexandria database | PBE | relaxed; final energy = -9.523 eV/atom; crystal system = trigonal; DOS at the Fermi energy = 0.469 states/eV per atom; formation energy without anion corrections = -440 meV/atom; calculated volume = 161.5 Å³/cell
1.0
5.770 0.007 0.004
2.878 5.002 0.010
2.874 1.662 5.604
Hf Ge N
6 1 1
direct
0.044 0.407 0.779
0.593 0.230 0.221
0.407 0.770 0.779
0.770 0.044 0.779
0.956 0.593 0.221
0.230 0.956 0.221
0.500 0.500 0.500
0.000 0.000 0.000

***

final energy of number 1 (HfGeN2)? -8.208 eV/atom